#A
The following is a DFT calculation (PBE) of a geometry-optimized MgV2Sn2 structure.

## Properties
Symmetry: P4/mbm
Volume: 19.42 Å³/atom
Crystal system: tetragonal

a = 7.959 Å, b = 7.959 Å, c = 3.066 Å
α = 90.00°, β = 90.00°, γ = 90.00°
Sites, in units of the cell vectors:
Mg 0.000 0.000 0.000
Mg 0.500 0.500 0.000
V 0.109 0.391 0.500
V 0.391 0.891 0.500
V 0.609 0.109 0.500
V 0.891 0.609 0.500
Sn 0.179 0.679 0.000
Sn 0.321 0.179 0.000
Sn 0.679 0.821 0.000
Sn 0.821 0.321 0.000

***

#B
The following is a DFT calculation (PBE) of a geometry-optimized MgV2Sn2 structure.

## Properties
Symmetry: P4/mbm
Volume: 19.30 Å³/atom
Crystal system: tetragonal

a = 7.585 Å, b = 7.585 Å, c = 3.354 Å
α = 90.00°, β = 90.00°, γ = 90.00°
Sites, in units of the cell vectors:
Mg 0.000 0.000 0.000
Mg 0.500 0.500 0.000
V 0.108 0.392 0.000
V 0.392 0.892 0.000
V 0.608 0.108 0.000
V 0.892 0.608 0.000
Sn 0.182 0.682 0.500
Sn 0.318 0.182 0.500
Sn 0.682 0.818 0.500
Sn 0.818 0.318 0.500

***

#B (41 meV/atom below the next structure)

***

#A
The following is a DFT calculation (PBE) of a geometry-optimized Mg14SnW structure.

## Properties
Symmetry: Amm2
Volume: 21.61 Å³/atom
Crystal system: orthorhombic

a = 10.260 Å, b = 6.269 Å, c = 6.269 Å
α = 59.01°, β = 90.00°, γ = 90.00°
Sites, in units of the cell vectors:
Mg 0.000 0.000 0.000
Mg 0.000 0.003 0.499
Mg 0.000 0.499 0.003
Mg 0.000 0.499 0.499
Mg 0.243 0.666 0.666
Mg 0.259 0.159 0.159
Mg 0.260 0.159 0.674
Mg 0.260 0.674 0.159
Mg 0.500 0.500 0.998
Mg 0.500 0.998 0.500
Mg 0.740 0.159 0.674
Mg 0.740 0.674 0.159
Mg 0.741 0.159 0.159
Mg 0.757 0.666 0.666
Sn 0.500 0.505 0.505
W 0.500 0.999 0.999

***

#B
The following is a DFT calculation (PBE) of a geometry-optimized Mg14SnW structure.

## Properties
Symmetry: P-6m2
Volume: 21.55 Å³/atom
Crystal system: hexagonal

a = 6.287 Å, b = 6.287 Å, c = 10.071 Å
α = 90.00°, β = 90.00°, γ = 120.00°
Sites, in units of the cell vectors:
Mg 0.000 0.000 0.247
Mg 0.000 0.000 0.753
Mg 0.012 0.506 0.260
Mg 0.012 0.506 0.740
Mg 0.332 0.166 0.500
Mg 0.335 0.167 0.000
Mg 0.494 0.506 0.260
Mg 0.494 0.506 0.740
Mg 0.494 0.988 0.260
Mg 0.494 0.988 0.740
Mg 0.833 0.167 0.000
Mg 0.833 0.665 0.000
Mg 0.834 0.166 0.500
Mg 0.834 0.668 0.500
Sn 0.333 0.667 0.000
W 0.333 0.667 0.500

***

#B (8 meV/atom below the next structure)